Crystalline LiC3Se at its relaxed geometry. Source: the Alexandria database, functional PBE-GGA.

a = 3.8119 Å, b = 3.8119 Å, c = 3.8119 Å
α = 90.00°, β = 90.00°, γ = 90.00°
Last column: nearest neighbours and their distance in Å.
Fractional positions:
C: 0.0000 0.5000 0.0000  2 Li 1.91
C: 0.0000 0.0000 0.5000  2 Li 1.91
C: 0.5000 0.0000 0.0000  2 Li 1.91
Se: 0.5000 0.5000 0.5000  12 C 2.70
Li: 0.0000 0.0000 0.0000  6 C 1.91

Calculated values
formation energy without anion corrections = 3.04 eV per atom
crystal system = cubic
DOS(E_F) = 0.73 states/eV per atom
mass density = 3.7 g cm⁻³
relative energy among the computed polymorphs = 387 meV/atom
total moment = 0.00 μB per cell
symmetry = Pm-3m, No. 221

Crystalline Li2SiC at its relaxed geometry. Source: the Alexandria database, functional PBE-GGA.

a = 3.1339 Å, b = 3.1339 Å, c = 8.6213 Å
α = 79.53°, β = 79.53°, γ = 90.00°
Last column: nearest neighbours and their distance in Å.
Fractional positions:
Si: 0.0000 0.0000 0.0000  4 C 2.22, 4 Li 2.40
Si: 0.7500 0.2500 0.5000  4 C 2.22, 4 Li 2.40
C: 0.5000 0.5000 0.0000  4 Si 2.22, 4 Li 2.32
C: 0.2500 0.7500 0.5000  4 Si 2.22, 4 Li 2.32
Li: 0.5898 0.1250 0.2500  2 Li 2.07
Li: 0.1602 0.6250 0.2500  2 Li 2.07
Li: 0.3750 0.4102 0.7500  2 Li 2.07
Li: 0.8750 0.8398 0.7500  2 Li 2.07

Calculated values
formation energy without anion corrections = 0.68 eV per atom
crystal system = tetragonal
DOS(E_F) = 0.25 states/eV per atom
mass density = 2.2 g cm⁻³
relative energy among the computed polymorphs = 0 meV/atom
total moment = 0.00 μB per cell
symmetry = I-42d, No. 122

Crystalline Li2SiC at its relaxed geometry. Source: the Alexandria database, functional PBE-GGA.

a = 3.9641 Å, b = 3.9641 Å, c = 3.9641 Å
α = 60.00°, β = 60.00°, γ = 60.00°
Last column: nearest neighbours and their distance in Å.
Fractional positions:
Si: 0.5000 0.5000 0.5000  8 Li 2.43
C: 0.0000 0.0000 0.0000  8 Li 2.43
Li: 0.2500 0.2500 0.2500  4 C 2.43, 4 Si 2.43
Li: 0.7500 0.7500 0.7500  4 C 2.43, 4 Si 2.43

Calculated values
formation energy without anion corrections = 0.87 eV per atom
crystal system = cubic
DOS(E_F) = 0.00 states/eV per atom
mass density = 2.0 g cm⁻³
relative energy among the computed polymorphs = 199 meV/atom
total moment = 0.00 μB per cell
symmetry = Fm-3m, No. 225

Crystalline LiSi2C at its relaxed geometry. Source: the Alexandria database, functional PBE-GGA.

a = 6.2580 Å, b = 6.2580 Å, c = 5.0244 Å
α = 51.48°, β = 51.48°, γ = 90.00°
Last column: nearest neighbours and their distance in Å.
Fractional positions:
Si: 0.7070 0.1250 0.2500  2 C 1.98
Si: 0.0430 0.6250 0.2500  2 C 1.98
Si: 0.3750 0.2930 0.7500  2 C 1.98
Si: 0.8750 0.9570 0.7500  2 C 1.98
C: 0.0000 0.0000 0.0000  4 Si 1.98
C: 0.7500 0.2500 0.5000  4 Si 1.98
Li: 0.5000 0.5000 0.0000  2 C 2.38, 4 Si 2.60
Li: 0.2500 0.7500 0.5000  2 C 2.38, 4 Si 2.60

Calculated values
formation energy without anion corrections = 0.26 eV per atom
crystal system = tetragonal
DOS(E_F) = 0.17 states/eV per atom
mass density = 2.7 g cm⁻³
total moment = 0.00 μB per cell
symmetry = I-42d, No. 122

Crystalline Li3SiC at its relaxed geometry. Source: the Alexandria database, functional PBE-GGA.

a = 4.7905 Å, b = 4.7905 Å, c = 4.7905 Å
α = 90.00°, β = 90.00°, γ = 90.00°
Last column: nearest neighbours and their distance in Å.
Fractional positions:
Si: 0.0000 0.0000 0.0000  6 Li 2.40
C: 0.5000 0.5000 0.5000  12 Li 3.39
Li: 0.0000 0.5000 0.0000  2 Si 2.40
Li: 0.0000 0.0000 0.5000  2 Si 2.40
Li: 0.5000 0.0000 0.0000  2 Si 2.40

Calculated values
formation energy without anion corrections = 1.40 eV per atom
crystal system = cubic
DOS(E_F) = 0.69 states/eV per atom
mass density = 0.9 g cm⁻³
relative energy among the computed polymorphs = 794 meV/atom
total moment = 1.00 μB per cell
symmetry = Pm-3m, No. 221

Crystalline Li3SiC at its relaxed geometry. Source: the Alexandria database, functional PBE-GGA.

a = 4.0211 Å, b = 4.0211 Å, c = 4.0211 Å
α = 90.00°, β = 90.00°, γ = 90.00°
Last column: nearest neighbours and their distance in Å.
Fractional positions:
Si: 0.5000 0.5000 0.5000  12 Li 2.84
C: 0.0000 0.0000 0.0000  6 Li 2.01
Li: 0.0000 0.5000 0.0000  2 C 2.01
Li: 0.0000 0.0000 0.5000  2 C 2.01
Li: 0.5000 0.0000 0.0000  2 C 2.01

Calculated values
formation energy without anion corrections = 0.60 eV per atom
crystal system = cubic
DOS(E_F) = 0.49 states/eV per atom
mass density = 1.6 g cm⁻³
relative energy among the computed polymorphs = 0 meV/atom
total moment = 0.00 μB per cell
symmetry = Pm-3m, No. 221

Crystalline LiSiTc2C at its relaxed geometry. Source: the Alexandria database, functional PBE-GGA.

a = 4.0774 Å, b = 4.0774 Å, c = 3.6063 Å
α = 90.00°, β = 90.00°, γ = 90.00°
Last column: nearest neighbours and their distance in Å.
Fractional positions:
C: 0.0000 0.0000 0.0000  2 Li 1.80
Si: 0.5000 0.5000 0.5000  8 Tc 2.72, 4 Li 2.88
Tc: 0.0000 0.5000 0.0000  2 C 2.04
Tc: 0.5000 0.0000 0.0000  2 C 2.04
Li: 0.0000 0.0000 0.5000  2 C 1.80

Calculated values
formation energy without anion corrections = 0.04 eV per atom
crystal system = tetragonal
DOS(E_F) = 0.70 states/eV per atom
mass density = 6.7 g cm⁻³
total moment = 0.00 μB per cell
symmetry = P4/mmm, No. 123

Crystalline Li2SiTcC at its relaxed geometry. Source: the Alexandria database, functional PBE-GGA.

a = 4.6497 Å, b = 4.5244 Å, c = 4.6497 Å
α = 90.00°, β = 90.00°, γ = 90.00°
Last column: nearest neighbours and their distance in Å.
Fractional positions:
C: 0.5000 0.5000 0.5000  8 Li 3.24, 4 Si 3.29
Si: 0.0000 0.5000 0.0000  2 Tc 2.26
Tc: 0.0000 0.0000 0.0000  2 Si 2.26, 4 Li 2.32
Li: 0.0000 0.0000 0.5000  2 Tc 2.32
Li: 0.5000 0.0000 0.0000  2 Tc 2.32

Calculated values
formation energy without anion corrections = 2.05 eV per atom
crystal system = tetragonal
DOS(E_F) = 1.09 states/eV per atom
mass density = 2.6 g cm⁻³
total moment = 0.37 μB per cell
symmetry = P4/mmm, No. 123

Crystalline LiY2SiC at its relaxed geometry. Source: the Alexandria database, functional PBE-GGA.

a = 4.8349 Å, b = 4.8349 Å, c = 4.1177 Å
α = 90.00°, β = 90.00°, γ = 90.00°
Last column: nearest neighbours and their distance in Å.
Fractional positions:
Y: 0.0000 0.5000 0.0000  2 C 2.42
Y: 0.5000 0.0000 0.0000  2 C 2.42
Si: 0.5000 0.5000 0.5000  8 Y 3.18, 4 Li 3.42
C: 0.0000 0.0000 0.0000  2 Li 2.06
Li: 0.0000 0.0000 0.5000  2 C 2.06

Calculated values
formation energy without anion corrections = -0.29 eV per atom
crystal system = tetragonal
DOS(E_F) = 0.54 states/eV per atom
mass density = 3.9 g cm⁻³
total moment = 0.00 μB per cell
symmetry = P4/mmm, No. 123

Crystalline LiSm8C4 at its relaxed geometry. Source: the Alexandria database, functional PBE-GGA.

a = 3.6733 Å, b = 9.4189 Å, c = 9.5260 Å
α = 85.89°, β = 78.88°, γ = 78.76°
Last column: nearest neighbours and their distance in Å.
Fractional positions:
Li: 0.5160 0.0014 0.9666  2 Li 3.67, 8 Sm 3.69-3.70
Sm: 0.1645 0.3096 0.3615  3 C 2.55-2.64
Sm: 0.5592 0.6309 0.2507  3 C 2.55-2.65
Sm: 0.4722 0.3725 0.6831  3 C 2.55-2.65
Sm: 0.8668 0.6940 0.5724  3 C 2.55-2.65
Sm: 0.8580 0.9746 0.3093  3 C 2.51-2.53
Sm: 0.2109 0.6594 0.9189  3 C 2.51-2.53
Sm: 0.1734 0.0289 0.6244  3 C 2.51-2.53
Sm: 0.8205 0.3440 0.0150  3 C 2.51-2.53
C: 0.3608 0.8373 0.4411  6 Sm 2.51-2.65
C: 0.8407 0.5172 0.8014  6 Sm 2.51-2.65
C: 0.1907 0.4861 0.1325  6 Sm 2.51-2.64
C: 0.6706 0.1662 0.4925  6 Sm 2.51-2.65

Calculated values
crystal system = monoclinic
DOS(E_F) = 1.01 states/eV per atom
mass density = 6.6 g cm⁻³
energy of formation = -0.081 eV per atom
total moment = 0.00 μB per cell
symmetry = C2/m, No. 12

Crystalline LiSmC at its relaxed geometry. Source: the Alexandria database, functional PBE-GGA.

a = 4.1212 Å, b = 4.1212 Å, c = 4.1212 Å
α = 60.00°, β = 60.00°, γ = 60.00°
Last column: nearest neighbours and their distance in Å.
Fractional positions:
C: 0.2500 0.2500 0.2500  4 Li 2.52, 4 Sm 2.52
Sm: 0.0000 0.0000 0.0000  4 C 2.52
Li: 0.5000 0.5000 0.5000  4 C 2.52

Calculated values
crystal system = cubic
mass density = 5.7 g cm⁻³
relative energy among the computed polymorphs = 60 meV/atom
energy of formation = -0.031 eV per atom
total moment = 0.00 μB per cell
symmetry = F-43m, No. 216

Crystalline LiSmC at its relaxed geometry. Source: the Alexandria database, functional PBE-GGA.

a = 3.7324 Å, b = 3.7320 Å, c = 10.0630 Å
α = 89.96°, β = 68.25°, γ = 60.01°
Last column: nearest neighbours and their distance in Å.
Fractional positions:
Li: 0.4368 0.5349 0.7816  4 C 2.26-2.40, 3 Li 2.46-2.47
Li: 0.9448 0.7816 0.6496  3 C 2.40, 3 Li 2.46-2.47
Sm: 0.5824 0.9633 0.4210  3 C 2.39
Sm: 0.4570 0.0241 0.0171  3 C 2.42
C: 0.7661 0.3712 0.5336  4 Li 2.26-2.40, 3 Sm 2.39
C: 0.9509 0.2773 0.8968  3 Li 2.39-2.40, 3 Sm 2.42

Calculated values
crystal system = monoclinic
DOS(E_F) = 0.83 states/eV per atom
mass density = 5.1 g cm⁻³
relative energy among the computed polymorphs = 275 meV/atom
energy of formation = 0.184 eV per atom
total moment = 0.00 μB per cell
symmetry = Cm, No. 8